Entry 1:
VASP calculation (meta-GGA SCAN) on a crystal of TeAuBr relaxed with PBEsol.

Computed properties:
Fermi-level density of states ... 1.352 states/eV/f.u.
ΔE_f (raw) ... -0.0699 eV per atom

Lattice parameters (Å, degrees): 7.2602 6.7229 3.8320 82.00 66.49 31.51
Positions (direct):
Te: 0.0000 0.0000 0.0000
Au: 0.6420 0.6420 0.3580
Br: 0.2797 0.2797 0.7203



Entry 2:
VASP calculation (meta-GGA SCAN) on a crystal of Te2AuBr relaxed with PBEsol.

Computed properties:
Fermi-level density of states ... 0.753 states/eV/f.u.
ΔE_f (raw) ... -0.2102 eV per atom

Lattice parameters (Å, degrees): 7.6145 7.6145 7.6145 31.27 31.27 31.27
Positions (direct):
Te: 0.2321 0.2321 0.2321
Te: 0.7679 0.7679 0.7679
Au: 0.5000 0.5000 0.5000
Br: 0.0000 0.0000 0.0000



Entry 3:
VASP calculation (meta-GGA SCAN) on a crystal of Te2AuBr relaxed with PBEsol.

Computed properties:
Fermi-level density of states ... 0.174 states/eV/f.u.
ΔE_f (raw) ... -0.2481 eV per atom

Lattice parameters (Å, degrees): 4.6509 4.0291 6.3768 90.00 111.31 90.00
Positions (direct):
Te: 0.2153 0.0000 0.3218
Te: 0.7847 0.0000 0.6782
Au: 0.0000 0.5000 0.5000
Br: 0.5000 0.5000 0.0000



Entry 4:
VASP calculation (meta-GGA SCAN) on a crystal of Te2AuBr relaxed with PBEsol.

Computed properties:
Fermi-level density of states ... 1.876 states/eV/f.u.
ΔE_f (raw) ... 0.0158 eV per atom

Lattice parameters (Å, degrees): 6.6023 6.6023 6.6023 101.89 101.89 126.01
Positions (direct):
Te: 0.0673 0.1250 0.4423
Te: 0.3750 0.9327 0.0577
Te: 0.6827 0.6250 0.5577
Te: 0.8750 0.3173 0.9423
Au: 0.0000 0.0000 0.0000
Au: 0.7500 0.2500 0.5000
Br: 0.2500 0.7500 0.5000
Br: 0.5000 0.5000 0.0000



Entry 5:
VASP calculation (meta-GGA SCAN) on a crystal of TeAuBr2 relaxed with PBEsol.

Computed properties:
Fermi-level density of states ... 3.422 states/eV/f.u.
ΔE_f (raw) ... -0.0934 eV per atom

Lattice parameters (Å, degrees): 8.0347 8.0347 8.0347 28.57 28.57 28.57
Positions (direct):
Te: 0.0000 0.0000 0.0000
Au: 0.2683 0.2683 0.2683
Br: 0.5339 0.5339 0.5339
Br: 0.7550 0.7550 0.7550



Entry 6:
VASP calculation (meta-GGA SCAN) on a crystal of Te4AuBr relaxed with PBEsol.

Computed properties:
Fermi-level density of states ... 5.350 states/eV/f.u.
ΔE_f (raw) ... 0.4528 eV per atom

Lattice parameters (Å, degrees): 6.1425 6.1425 6.1425 60.00 60.00 60.00
Positions (direct):
Te: 0.1243 0.1243 0.1243
Te: 0.1243 0.1243 0.6270
Te: 0.1243 0.6270 0.1243
Te: 0.6270 0.1243 0.1243
Au: 0.7500 0.7500 0.7500
Br: 0.5000 0.5000 0.5000



Entry 7:
VASP calculation (meta-GGA SCAN) on a crystal of Te3AuBr relaxed with PBEsol.

Computed properties:
Excess energy over the best structure of this formula in the dataset ... 0 meV/atom
Fermi-level density of states ... 7.362 states/eV/f.u.
ΔE_f (raw) ... 0.4720 eV per atom

Lattice parameters (Å, degrees): 5.3705 5.3705 5.3705 90.00 90.00 90.00
Positions (direct):
Te: 0.0000 0.0000 0.5000
Te: 0.0000 0.5000 0.0000
Te: 0.5000 0.0000 0.0000
Au: 0.0000 0.0000 0.0000
Br: 0.5000 0.5000 0.5000



Entry 8:
VASP calculation (meta-GGA SCAN) on a crystal of TeAuBr2 relaxed with PBEsol.

Computed properties:
Fermi-level density of states ... 2.133 states/eV/f.u.
ΔE_f (raw) ... 0.2312 eV per atom

Lattice parameters (Å, degrees): 9.9313 9.9313 9.9313 20.21 20.21 20.21
Positions (direct):
Te: 0.0000 0.0000 0.0000
Au: 0.5000 0.5000 0.5000
Br: 0.4170 0.4170 0.4170
Br: 0.5830 0.5830 0.5830



Entry 9:
VASP calculation (meta-GGA SCAN) on a crystal of Te2AuBr relaxed with PBEsol.

Computed properties:
Fermi-level density of states ... 0.914 states/eV/f.u.
ΔE_f (raw) ... -0.0662 eV per atom

Lattice parameters (Å, degrees): 8.3199 8.3199 8.3199 27.66 27.66 27.66
Positions (direct):
Te: 0.0000 0.0000 0.0000
Te: 0.2523 0.2523 0.2523
Au: 0.7340 0.7340 0.7340
Br: 0.4653 0.4653 0.4653



Entry 10:
VASP calculation (meta-GGA SCAN) on a crystal of Te2AuBr relaxed with PBEsol.

Computed properties:
Fermi-level density of states ... 0.223 states/eV/f.u.
ΔE_f (raw) ... -0.2698 eV per atom

Lattice parameters (Å, degrees): 6.7218 6.7218 4.7338 105.91 105.91 34.77
Positions (direct):
Te: 0.0000 0.0000 0.0000
Te: 0.1753 0.1753 0.7352
Au: 0.5874 0.5874 0.3662
Br: 0.3544 0.3544 0.4608



Entry 11:
VASP calculation (meta-GGA SCAN) on a crystal of TeAuBr3 relaxed with PBEsol.

Computed properties:
Fermi-level density of states ... 2.801 states/eV/f.u.
ΔE_f (raw) ... 0.3408 eV per atom

Lattice parameters (Å, degrees): 5.4814 5.4814 5.4814 90.00 90.00 90.00
Positions (direct):
Te: 0.0000 0.0000 0.0000
Au: 0.5000 0.5000 0.5000
Br: 0.0000 0.0000 0.5000
Br: 0.0000 0.5000 0.0000
Br: 0.5000 0.0000 0.0000



Entry 12:
VASP calculation (meta-GGA SCAN) on a crystal of TeAuBr2 relaxed with PBEsol.

Computed properties:
Fermi-level density of states ... 1.581 states/eV/f.u.
ΔE_f (raw) ... 0.1707 eV per atom

Lattice parameters (Å, degrees): 9.1950 9.1950 9.1950 23.75 23.75 23.75
Positions (direct):
Te: 0.0000 0.0000 0.0000
Au: 0.5000 0.5000 0.5000
Br: 0.1029 0.1029 0.1029
Br: 0.8971 0.8971 0.8971



Entry 13:
VASP calculation (meta-GGA SCAN) on a crystal of Te3AuBr relaxed with PBEsol.

Computed properties:
Excess energy over the best structure of this formula in the dataset ... 702 meV/atom
Fermi-level density of states ... 3.766 states/eV/f.u.
ΔE_f (raw) ... 1.1745 eV per atom

Lattice parameters (Å, degrees): 5.4198 5.4198 5.4198 90.00 90.00 90.00
Positions (direct):
Te: 0.0000 0.0000 0.5000
Te: 0.0000 0.5000 0.0000
Te: 0.5000 0.0000 0.0000
Au: 0.5000 0.5000 0.5000
Br: 0.0000 0.0000 0.0000



Entry 14:
VASP calculation (meta-GGA SCAN) on a crystal of TiAu2Br2 relaxed with PBEsol.

Computed properties:
Fermi-level density of states ... 1.579 states/eV/f.u.
ΔE_f (raw) ... -0.3220 eV per atom

Lattice parameters (Å, degrees): 9.9637 9.9637 9.9637 159.41 159.41 29.28
Positions (direct):
Ti: 0.0000 0.0000 0.0000
Au: 0.2500 0.7500 0.5000
Au: 0.7500 0.2500 0.5000
Br: 0.4193 0.4193 0.0000
Br: 0.5807 0.5807 0.0000



Entry 15:
VASP calculation (meta-GGA SCAN) on a crystal of TlAuBr relaxed with PBEsol.

Computed properties:
Fermi-level density of states ... 1.586 states/eV/f.u.
ΔE_f (raw) ... -0.0209 eV per atom

Lattice parameters (Å, degrees): 4.8589 4.8589 4.8589 60.00 60.00 60.00
Positions (direct):
Tl: 0.0000 0.0000 0.0000
Au: 0.7500 0.7500 0.7500
Br: 0.5000 0.5000 0.5000



Entry 16:
VASP calculation (meta-GGA SCAN) on a crystal of Tl2AuBr relaxed with PBEsol.

Computed properties:
Excess energy over the best structure of this formula in the dataset ... 0 meV/atom
Fermi-level density of states ... 0.814 states/eV/f.u.
ΔE_f (raw) ... -0.3535 eV per atom

Lattice parameters (Å, degrees): 4.3203 4.3203 7.4937 106.59 106.59 59.73
Positions (direct):
Tl: 0.2382 0.2382 0.2146
Tl: 0.7618 0.7618 0.7854
Au: 0.5000 0.5000 0.0000
Br: 0.0000 0.0000 0.5000



Entry 17:
VASP calculation (meta-GGA SCAN) on a crystal of TlAu2Br relaxed with PBEsol.

Computed properties:
Excess energy over the best structure of this formula in the dataset ... 0 meV/atom
Fermi-level density of states ... 1.359 states/eV/f.u.
ΔE_f (raw) ... -0.0577 eV per atom

Lattice parameters (Å, degrees): 7.5106 7.5106 7.5106 30.45 30.45 30.45
Positions (direct):
Tl: 0.0000 0.0000 0.0000
Au: 0.4810 0.4810 0.4810
Au: 0.7457 0.7457 0.7457
Br: 0.2229 0.2229 0.2229



Entry 18:
VASP calculation (meta-GGA SCAN) on a crystal of Tl2AuBr relaxed with PBEsol.

Computed properties:
Excess energy over the best structure of this formula in the dataset ... 52 meV/atom
Fermi-level density of states ... 0.278 states/eV/f.u.
ΔE_f (raw) ... -0.3019 eV per atom

Lattice parameters (Å, degrees): 5.2847 5.2847 5.2847 120.06 119.93 90.01
Positions (direct):
Tl: 0.2495 0.2495 0.0000
Tl: 0.7505 0.7505 0.0000
Au: 0.0000 0.5000 0.5000
Br: 0.5000 0.0000 0.5000



Entry 19:
VASP calculation (meta-GGA SCAN) on a crystal of TlAu2Br relaxed with PBEsol.

Computed properties:
Excess energy over the best structure of this formula in the dataset ... 155 meV/atom
Fermi-level density of states ... 0.877 states/eV/f.u.
ΔE_f (raw) ... 0.0973 eV per atom

Lattice parameters (Å, degrees): 3.7772 5.2979 4.5119 90.00 90.42 90.00
Positions (direct):
Tl: 0.0000 0.0000 0.0000
Au: 0.2384 0.5000 0.7585
Au: 0.7616 0.5000 0.2415
Br: 0.5000 0.0000 0.5000



Entry 20:
VASP calculation (meta-GGA SCAN) on a crystal of Tl2AuBr relaxed with PBEsol.

Computed properties:
Excess energy over the best structure of this formula in the dataset ... 26 meV/atom
Fermi-level density of states ... 0.449 states/eV/f.u.
ΔE_f (raw) ... -0.3278 eV per atom

Lattice parameters (Å, degrees): 4.8771 6.1222 6.1222 36.43 90.00 90.00
Positions (direct):
Tl: 0.0000 0.0000 0.0000
Tl: 0.5000 0.2452 0.2452
Au: 0.5000 0.4987 0.4987
Br: 0.0000 0.7404 0.7404



Entry 21:
VASP calculation (meta-GGA SCAN) on a crystal of TlAu2Br relaxed with PBEsol.

Computed properties:
Excess energy over the best structure of this formula in the dataset ... 194 meV/atom
Fermi-level density of states ... 1.336 states/eV/f.u.
ΔE_f (raw) ... 0.1367 eV per atom

Lattice parameters (Å, degrees): 6.3917 6.3917 6.3917 143.33 143.33 52.83
Positions (direct):
Tl: 0.0000 0.0000 0.0000
Au: 0.2500 0.7500 0.5000
Au: 0.7500 0.2500 0.5000
Br: 0.5000 0.5000 0.0000



Entry 22:
VASP calculation (meta-GGA SCAN) on a crystal of WAu2Br relaxed with PBEsol.

Computed properties:
Excess energy over the best structure of this formula in the dataset ... 0 meV/atom
Fermi-level density of states ... 2.793 states/eV/f.u.
ΔE_f (raw) ... 0.4695 eV per atom

Lattice parameters (Å, degrees): 2.8428 3.0389 8.6015 90.00 90.00 90.00
Positions (direct):
W: 0.0000 0.0000 0.0000
Au: 0.5000 0.5000 0.2170
Au: 0.5000 0.5000 0.7830
Br: 0.5000 0.0000 0.5000



Entry 23:
VASP calculation (meta-GGA SCAN) on a crystal of WAu2Br relaxed with PBEsol.

Computed properties:
Excess energy over the best structure of this formula in the dataset ... 575 meV/atom
Fermi-level density of states ... 3.049 states/eV/f.u.
ΔE_f (raw) ... 1.0446 eV per atom

Lattice parameters (Å, degrees): 5.2541 5.2541 2.6780 90.00 90.00 90.00
Positions (direct):
W: 0.0000 0.0000 0.0000
Au: 0.0000 0.5000 0.5000
Au: 0.5000 0.0000 0.5000
Br: 0.5000 0.5000 0.0000



Entry 24:
VASP calculation (meta-GGA SCAN) on a crystal of YAuBr2 relaxed with PBEsol.

Computed properties:
Fermi-level density of states ... 0.585 states/eV/f.u.
ΔE_f (raw) ... -0.8273 eV per atom

Lattice parameters (Å, degrees): 4.5696 4.5696 4.2872 90.00 90.00 90.00
Positions (direct):
Y: 0.0000 0.0000 0.0000
Au: 0.5000 0.5000 0.0000
Br: 0.0000 0.5000 0.5000
Br: 0.5000 0.0000 0.5000



Entry 25:
VASP calculation (meta-GGA SCAN) on a crystal of YAuBr relaxed with PBEsol.

Computed properties:
Excess energy over the best structure of this formula in the dataset ... 174 meV/atom
Fermi-level density of states ... 1.428 states/eV/f.u.
ΔE_f (raw) ... -0.8985 eV per atom

Lattice parameters (Å, degrees): 4.7889 4.7889 3.5714 90.00 90.00 120.00
Positions (direct):
Y: 0.0000 0.0000 0.0000
Au: 0.3333 0.6667 0.5016
Br: 0.6667 0.3333 0.0032



Entry 26:
VASP calculation (meta-GGA SCAN) on a crystal of YAu4Br relaxed with PBEsol.

Computed properties:
Fermi-level density of states ... 0.994 states/eV/f.u.
ΔE_f (raw) ... -0.5062 eV per atom

Lattice parameters (Å, degrees): 5.5278 5.5278 5.5278 60.00 60.00 60.00
Positions (direct):
Y: 0.0000 0.0000 0.0000
Au: 0.1257 0.6248 0.6248
Au: 0.6248 0.1257 0.6248
Au: 0.6248 0.6248 0.1257
Au: 0.6248 0.6248 0.6248
Br: 0.2500 0.2500 0.2500



Entry 27:
VASP calculation (meta-GGA SCAN) on a crystal of YAuBr relaxed with PBEsol.

Computed properties:
Excess energy over the best structure of this formula in the dataset ... 498 meV/atom
Fermi-level density of states ... 2.086 states/eV/f.u.
ΔE_f (raw) ... -0.5742 eV per atom

Lattice parameters (Å, degrees): 4.7337 4.7337 4.7337 60.00 60.00 60.00
Positions (direct):
Y: 0.0000 0.0000 0.0000
Au: 0.5000 0.5000 0.5000
Br: 0.7500 0.7500 0.7500



Entry 28:
VASP calculation (meta-GGA SCAN) on a crystal of YAuBr relaxed with PBEsol.

Computed properties:
Excess energy over the best structure of this formula in the dataset ... 0 meV/atom
Fermi-level density of states ... 1.906 states/eV/f.u.
ΔE_f (raw) ... -1.0725 eV per atom

Lattice parameters (Å, degrees): 6.5510 6.5510 6.5510 149.32 149.32 43.95
Positions (direct):
Y: 0.0000 0.0000 0.0000
Au: 0.3641 0.3641 0.0000
Br: 0.6436 0.6436 0.0000



Entry 29:
VASP calculation (meta-GGA SCAN) on a crystal of Zn3AuBr relaxed with PBEsol.

Computed properties:
Excess energy over the best structure of this formula in the dataset ... 0 meV/atom
Fermi-level density of states ... 1.548 states/eV/f.u.
ΔE_f (raw) ... -0.1042 eV per atom

Lattice parameters (Å, degrees): 4.8901 4.8901 4.8901 90.00 90.00 90.00
Positions (direct):
Zn: 0.0000 0.0000 0.5000
Zn: 0.0000 0.5000 0.0000
Zn: 0.5000 0.0000 0.0000
Au: 0.0000 0.0000 0.0000
Br: 0.5000 0.5000 0.5000



Entry 30:
VASP calculation (meta-GGA SCAN) on a crystal of Zn3AuBr relaxed with PBEsol.

Computed properties:
Excess energy over the best structure of this formula in the dataset ... 1044 meV/atom
Fermi-level density of states ... 2.214 states/eV/f.u.
ΔE_f (raw) ... 0.9402 eV per atom

Lattice parameters (Å, degrees): 4.9202 4.9202 4.9202 90.00 90.00 90.00
Positions (direct):
Zn: 0.0000 0.0000 0.5000
Zn: 0.0000 0.5000 0.0000
Zn: 0.5000 0.0000 0.0000
Au: 0.5000 0.5000 0.5000
Br: 0.0000 0.0000 0.0000